Record 1
Entry from Alexandria: an optimized crystal structure of CoRe2 (PBEsol).

Computed properties:
DFT formation energy: -13 meV/atom
Energy above the most stable polymorph in this dataset: 0.016 eV per atom
Crystal system: orthorhombic
D(E_F): 0.990 states/eV/atom

Cell lengths 2.6570, 13.8988, 4.2724 Å; angles 90.00, 90.00, 90.00 degrees
Space group Cmcm (No. 63)
Unique sites:
Co: 0.0000 0.1096 0.2500
Re: 0.0000 0.2221 0.7500
Re: 0.0000 0.4473 0.2500

---

Record 2
Entry from Alexandria: an optimized crystal structure of CoRe2 (PBEsol).

Computed properties:
DFT formation energy: -7 meV/atom
Energy above the most stable polymorph in this dataset: 0.022 eV per atom
Crystal system: hexagonal
D(E_F): 0.596 states/eV/atom

Cell lengths 4.1537, 4.1537, 5.2302 Å; angles 90.00, 90.00, 120.00 degrees
Space group P6_3/mmc (No. 194)
Unique sites:
Co: 0.3333 0.6667 0.2500
Re: 0.0000 0.0000 0.0000
Re: 0.3333 0.6667 0.7500

---

> What is the D(E_F) in the first record?

0.990 states/eV/atom